# Pm4Dy2HoMg PBE optimized geometry
data_Pm4Dy2HoMg
_symmetry_space_group_name_H-M 'P 4/m m m'
_symmetry_Int_Tables_number 123
_symmetry_space_group_name_Hall '-P 4 2'
_cell_length_a 5.048
_cell_length_b 5.048
_cell_length_c 9.978
_cell_angle_alpha 90.00
_cell_angle_beta 90.00
_cell_angle_gamma 90.00
loop_
_atom_site_label
_atom_site_fract_x
_atom_site_fract_y
_atom_site_fract_z
Pm1 0.000 0.500 0.247
Dy1 0.000 0.000 0.000
Dy2 0.500 0.500 0.500
Ho1 0.000 0.000 0.500
Mg1 0.500 0.500 0.000
# ΔH_f (0 K), eV/atom: 0.01
# E_tot, eV/cell: -34.31